# 1
A relaxed structure of YCoW2. Source: Alexandria, functional GGA-PBE.

Calculated values
As for the energy relative to the lowest polymorph listed for this composition: 71.3 meV/atom. As for the formation enthalpy at 0 K: 0.350 eV per atom. For the density, the calculation gives 12.34 g/cm³. Its space group is No. 71.

a = 5.6755 Å, b = 5.6755 Å, c = 5.6755 Å
α = 148.64°, β = 132.75°, γ = 57.82°
Closest atoms and distances in Å follow each position.
Fractional coordinates of all 4 atoms:
Y (0.0000, 0.0000, 0.0000)  4 Co 2.74, 2 Y 3.07
Co (0.5000, 0.5000, 0.0000)  4 W 2.73, 4 Y 2.74
W (0.2727, 0.7727, 0.5000)  2 Co 2.73, 4 W 2.78
W (0.7273, 0.2273, 0.5000)  2 Co 2.73, 4 W 2.78


# 2
A relaxed structure of RbBeCd2N. Source: Alexandria, functional GGA-PBE.

Calculated values
The calculation puts the energy relative to the elements, uncorrected at 0.210 eV/atom. For the density, the calculation gives 4.46 g/cm³. Its space group is No. 123.

a = 6.3097 Å, b = 6.3097 Å, c = 3.1153 Å
α = 90.00°, β = 90.00°, γ = 90.00°
Closest atoms and distances in Å follow each position.
Fractional coordinates of all 5 atoms:
Rb (0.0000, 0.0000, 0.0000)  2 Rb 3.12
Be (0.5000, 0.5000, 0.0000)  2 N 1.56
Cd (0.0000, 0.5000, 0.5000)  2 Cd 3.12, 2 N 3.15
Cd (0.5000, 0.0000, 0.5000)  2 Cd 3.12, 2 N 3.15
N (0.5000, 0.5000, 0.5000)  2 Be 1.56